Material: Mg5Tc
Method: DFT, SCAN
State: PBEsol geometry

Lattice parameters (Å, degrees): 5.453 5.453 4.920 90.00 90.00 120.00
Fractional coordinates of all 6 atoms:
Mg 0.000 0.500 0.000
Mg 0.333 0.667 0.500
Mg 0.500 0.000 0.000
Mg 0.500 0.500 0.000
Mg 0.667 0.333 0.500
Tc 0.000 0.000 0.500

Computed properties:
Calculated volume in Å³/f.u.: 127
Formation energy in eV per atom: 0.61
Uncorrected energy in eV/atom: -9.375
Magnetic moment in μB/atom: 0.4942